VASP calculation (GGA-PBEsol) on an optimized crystal structure of LaSn3O.

Cell lengths 4.8210, 4.8210, 4.8210 Å; angles 90.00, 90.00, 90.00 degrees
With the nearest neighbours (Å) after each atom.
Space group Pm-3m (No. 221)
Unique sites:
La  0.0000  0.0000  0.0000 [1 per cell]  12 Sn 3.41
Sn  0.0000  0.5000  0.5000 [3 per cell]  2 O 2.41
O  0.5000  0.5000  0.5000 [1 per cell]  6 Sn 2.41

Fermi-level density of states   2.28 states/eV per cell
ρ   7.6 g/cm3
Electronic total energy   -27.02 eV per formula unit
Spin magnetization   0.00 μB/cell
Uncorrected formation energy   -0.7297 eV per atom